# YMgSc2Ru, relaxed, DFT PBE
data_YMgSc2Ru
_chemical_formula_sum 'Y1 Mg1 Sc2 Ru1'
_space_group_name_H-M_alt 'P 1'
_space_group_IT_number 1
_cell_length_a 5.029
_cell_length_b 5.029
_cell_length_c 5.362
_cell_angle_alpha 90.00
_cell_angle_beta 90.00
_cell_angle_gamma 90.00
loop_
_space_group_symop_operation_xyz
'x,y,z'
loop_
_atom_site_label
_atom_site_type_symbol
_atom_site_fract_x
_atom_site_fract_y
_atom_site_fract_z
Ru1 Ru 0.000 0.000 0.000
Sc1 Sc 0.500 0.000 0.000
Sc2 Sc 0.000 0.500 0.000
Mg1 Mg 0.500 0.500 0.500
Y1 Y 0.000 0.000 0.500
# Offset from the most stable computed form, meV per atom: 17
# Formation energy, meV per atom: -77